SrHfZr2Cu | Alexandria via LeMat-Bulk | GGA-PBE | optimized geometry; calculated formation energy = 2.150 eV/atom; VASP energy = -4.416 eV/atom; calculated volume = 27.10 Å³/atom
1.0
-3.609 3.057 1.974
1.080 -1.774 4.722
3.477 3.717 0.601
Zr Sr Cu Hf
2 1 1 1
Direct
0.500 0.000 0.000 Zr
0.000 0.000 0.500 Zr
0.000 0.000 0.000 Sr
0.500 0.500 0.500 Cu
0.000 0.500 0.000 Hf

=====

Li2MoSe | Alexandria via LeMat-Bulk | GGA-PBE | optimized geometry; ΔE_f (raw) = -0.086 eV per atom; VASP energy = -4.622 eV/atom; calculated volume = 16.22 Å³/atom
1.0
-0.534 2.493 -3.987
1.620 0.313 -4.436
-3.066 -2.337 -3.369
Li Se Mo
2 1 1
Direct
0.965 0.965 0.957 Li
0.741 0.741 0.779 Li
0.257 0.257 0.373 Se
0.537 0.537 0.391 Mo

=====

Y2RuBr | Alexandria via LeMat-Bulk | GGA-PBE | optimized geometry; ΔE_f (raw) = -0.344 eV per atom; VASP energy = -6.313 eV/atom; calculated volume = 23.00 Å³/atom
1.0
-4.182 -2.604 1.357
2.708 -2.623 3.449
-0.751 5.058 -0.200
Br Ru Y
1 1 2
Direct
0.750 0.250 0.500 Br
0.250 0.750 0.500 Ru
0.489 0.489 0.000 Y
0.011 0.011 0.000 Y

=====

LiCa2Mg5Ag2 | Alexandria via LeMat-Bulk | GGA-PBE | optimized geometry; calculated formation energy = -0.162 eV/atom; VASP energy = -2.121 eV/atom; calculated volume = 24.49 Å³/atom
1.0
-2.277 -1.356 -3.234
4.098 -9.935 1.280
-8.100 -2.473 6.739
Ag Li Ca Mg
4 2 4 10
Direct
0.000 0.621 0.879 Ag
0.000 0.879 0.379 Ag
0.000 0.379 0.121 Ag
0.000 0.121 0.621 Ag
0.000 0.500 0.500 Li
0.000 0.000 0.000 Li
0.000 0.675 0.175 Ca
0.000 0.825 0.675 Ca
0.000 0.325 0.825 Ca
0.000 0.175 0.325 Ca
0.500 0.796 0.936 Mg
0.500 0.000 0.500 Mg
0.500 0.296 0.564 Mg
0.500 0.704 0.436 Mg
0.500 0.204 0.064 Mg
0.500 0.436 0.296 Mg
0.500 0.500 0.000 Mg
0.500 0.936 0.204 Mg
0.500 0.064 0.796 Mg
0.500 0.564 0.704 Mg

=====

Tl2NiPtS4 | Alexandria via LeMat-Bulk | GGA-PBE | optimized geometry; ΔE_f (raw) = -0.156 eV per atom; VASP energy = -4.289 eV/atom; calculated volume = 24.71 Å³/atom
1.0
-4.611 3.321 -0.827
-6.220 -3.562 0.438
-2.718 3.642 9.849
S Pt Tl Ni
8 2 4 2
Direct
0.884 0.814 0.882 S
0.233 0.186 0.882 S
0.866 0.686 0.618 S
0.169 0.314 0.382 S
0.517 0.314 0.618 S
0.301 0.814 0.118 S
0.449 0.686 0.382 S
0.581 0.186 0.118 S
0.000 0.000 0.000 Pt
0.750 0.500 0.500 Pt
0.813 0.000 0.374 Tl
0.563 0.500 0.874 Tl
0.187 0.000 0.626 Tl
0.937 0.500 0.126 Tl
0.250 0.500 0.500 Ni
0.500 0.000 0.000 Ni

=====

TaTeN2F | Alexandria via LeMat-Bulk | GGA-PBE | optimized geometry; ΔE_f (raw) = -0.311 eV per atom; VASP energy = -7.014 eV/atom; calculated volume = 14.12 Å³/atom
1.0
4.164 0.000 0.000
0.000 4.164 0.000
0.000 0.000 4.071
Ta N Te F
1 2 1 1
Direct
0.000 0.000 0.000 Ta
0.000 0.500 0.000 N
0.500 0.000 0.000 N
0.500 0.500 0.500 Te
0.000 0.000 0.500 F

=====

InAg2S | Alexandria via LeMat-Bulk | GGA-PBE | optimized geometry; ΔE_f (raw) = 0.169 eV per atom; VASP energy = -2.973 eV/atom; calculated volume = 25.94 Å³/atom
1.0
6.686 0.000 0.000
0.000 6.686 0.000
3.343 3.343 4.642
Ag In S
4 2 2
Direct
0.579 0.125 0.250 Ag
0.171 0.625 0.250 Ag
0.875 0.829 0.750 Ag
0.375 0.421 0.750 Ag
0.000 0.000 0.000 In
0.750 0.250 0.500 In
0.250 0.750 0.500 S
0.500 0.500 0.000 S

=====

PmUZn4 | Alexandria via LeMat-Bulk | GGA-PBE | optimized geometry; calculated formation energy = -0.051 eV/atom; VASP energy = -3.574 eV/atom; calculated volume = 19.45 Å³/atom
1.0
-5.140 -1.144 1.534
-1.675 -5.214 0.304
-0.957 -2.292 4.890
Zn Pm U
4 1 1
Direct
0.625 0.625 0.124 Zn
0.625 0.124 0.625 Zn
0.124 0.625 0.625 Zn
0.625 0.625 0.625 Zn
0.250 0.250 0.250 Pm
0.000 0.000 0.000 U

=====

Question: What is the VASP energy in the fourth record?
Answer: -2.121 eV/atom

=====

Question: Among the records above, which one has the lowest calculated volume?
Answer: TaTeN2F

=====

Question: Number 8 is which compound?
Answer: PmUZn4